No. 1
DFT (meta-GGA SCAN) results for a PBEsol-optimized structure of ZrRhAu2.

Cell and atoms, written as POSCAR:
```
ZrRhAu2
1.0
-2.7583 2.7189 -0.2567
-2.4197 -2.2638 2.0216
4.0213 1.5783 2.8544
Rh Au Zr
1 2 1
Cartesian
0.0000 0.0000 0.0000
-0.6629 2.2624 1.7400
-0.4937 -0.2290 2.8792
-2.5890 0.2276 0.8824
```

No. 2
DFT (meta-GGA SCAN) results for a PBEsol-optimized structure of Zr2RhAu.

Cell and atoms, written as POSCAR:
```
Zr2RhAu
1.0
-0.4723 3.1346 -0.9915
-1.6519 -1.4365 -3.7549
-4.4901 -1.6159 2.5935
Rh Au Zr
1 1 2
Cartesian
-2.5473 0.8338 -1.7139
-3.4275 1.5345 0.9208
-1.0444 -0.0107 0.4636
-4.6173 -0.7572 -0.1946
```

No. 3
DFT (meta-GGA SCAN) results for a PBEsol-optimized structure of Zr2Rh2Au.

Cell and atoms, written as POSCAR:
```
Zr2Rh2Au
1.0
-2.9335 1.4065 0.3055
-3.0282 -5.5052 -3.7314
-1.0914 -3.6331 6.2458
Rh Au Zr
4 2 4
Cartesian
-2.0495 -5.1525 4.0408
-3.3125 -7.0691 0.7379
-2.0700 -3.9858 -1.5264
-0.8071 -2.0692 1.7765
0.0000 0.0000 0.0000
-2.0598 -4.5692 1.2572
-2.7017 -2.6422 3.6964
-4.3963 -5.9957 2.8636
-4.3514 -5.0896 -0.8764
-2.6568 -1.7361 -0.0437
```

No. 4
DFT (meta-GGA SCAN) results for a PBEsol-optimized structure of ZrRhAu2.

Cell and atoms, written as POSCAR:
```
ZrRhAu2
1.0
-2.2171 -0.0356 2.6509
-0.4772 -3.3939 -0.4448
4.3019 -1.0745 3.5835
Rh Au Zr
1 2 1
Cartesian
2.1106 -0.5272 1.7581
4.2666 -1.0657 3.5541
1.8827 -2.5215 3.7936
-0.1994 -2.0015 2.0592
```

No. 5
DFT (meta-GGA SCAN) results for a PBEsol-optimized structure of Zr2RhAu.

Cell and atoms, written as POSCAR:
```
Zr2RhAu
1.0
-2.9389 0.2292 1.1478
-1.1611 -0.9626 -2.7807
0.3392 -6.8942 2.2451
Rh Au Zr
1 1 2
Cartesian
-1.8804 -3.8138 0.3061
-2.0500 -0.3667 -0.8165
0.2487 -5.0543 1.6459
0.0905 -1.8399 0.5991
```

No. 6
ZrRhAu (meta-GGA SCAN, single point on PBEsol structure); excess energy over the best structure of this formula in the dataset = 0 meV/atom
1.0
3.4156 0.0000 0.0000
0.0000 3.4156 0.0000
-1.7078 -1.7078 4.3927
Rh Au Zr
1 1 1
Cartesian
0.0000 0.0000 2.8431
0.0000 0.0000 0.0063
1.7078 1.7078 1.5434

No. 7
DFT (meta-GGA SCAN) results for a PBEsol-optimized structure of ZrRhAu2.

Cell and atoms, written as POSCAR:
```
ZrRhAu2
1.0
-1.5026 2.5651 -2.7351
-3.7129 -1.4298 0.6988
2.0805 2.2215 3.9236
Rh Au Zr
1 2 1
Cartesian
-2.6077 0.5677 -1.0181
0.0000 0.0000 0.0000
-2.1200 0.6797 1.8021
-1.0149 2.6771 0.0852
```

No. 8
ZrRhAu (meta-GGA SCAN, single point on PBEsol structure); excess energy over the best structure of this formula in the dataset = 265 meV/atom
1.0
2.9120 0.0000 0.0000
0.0000 4.4897 0.0000
0.0000 -2.2448 3.8882
Au Rh Zr
1 1 1
Cartesian
2.8821 0.0000 0.0000
1.8162 0.0000 2.5921
1.1258 2.2449 1.2961

No. 9
RuAu (meta-GGA SCAN, single point on PBEsol structure); excess energy over the best structure of this formula in the dataset = 0 meV/atom
1.0
-1.1407 -2.4381 0.6001
2.4354 -1.2347 -0.3871
1.7668 1.0697 7.7039
Au Ru
2 2
Cartesian
0.9531 -0.2967 6.9427
1.4611 -0.4700 0.8677
0.1343 -0.7924 3.3724
2.2799 0.0258 4.4380

No. 10
Ru2Au (meta-GGA SCAN, single point on PBEsol structure); excess energy over the best structure of this formula in the dataset = 294 meV/atom
1.0
2.6750 0.0000 0.0000
0.0000 4.3670 0.0000
0.0000 -2.1835 3.7819
Au Ru
1 2
Cartesian
0.0000 0.0000 0.0000
1.3375 2.1835 1.2606
1.3375 0.0000 2.5213

No. 11
RuAu2 (meta-GGA SCAN, single point on PBEsol structure); excess energy over the best structure of this formula in the dataset = 7 meV/atom
1.0
2.7561 0.0000 0.0000
0.0000 4.5676 0.0000
-1.3780 0.0000 7.4810
Au Ru
4 2
Cartesian
1.3780 3.4257 5.7130
0.0000 1.1419 1.7680
0.0000 1.1419 6.6318
1.3780 3.4257 0.8493
0.0000 3.4257 3.3600
1.3780 1.1419 4.1211

No. 12
RuAu2 (meta-GGA SCAN, single point on PBEsol structure); excess energy over the best structure of this formula in the dataset = 0 meV/atom
1.0
3.8635 0.0000 0.0000
0.0000 4.1112 0.0000
0.0000 2.0556 5.9803
Au Ru
4 2
Cartesian
0.9659 4.1112 4.9744
2.8977 2.0556 1.0059
0.9659 2.0556 3.0076
2.8977 4.1112 2.9727
0.9659 4.1112 0.8143
2.8977 2.0556 5.1660

No. 13
RuAu (meta-GGA SCAN, single point on PBEsol structure); excess energy over the best structure of this formula in the dataset = 1151 meV/atom
1.0
4.3660 0.0000 0.0000
-2.1830 3.7811 0.0000
0.0000 0.0000 5.2021
Au Ru
2 2
Cartesian
2.1830 1.2604 1.3005
0.0000 2.5207 3.9016
2.1830 1.2604 3.9016
0.0000 2.5207 1.3005

No. 14
RuAu (meta-GGA SCAN, single point on PBEsol structure); excess energy over the best structure of this formula in the dataset = 285 meV/atom
1.0
2.7544 0.0000 0.0000
0.0000 4.7015 0.0000
-1.3772 -2.3507 4.7628
Au Ru
2 2
Cartesian
1.3772 1.1754 3.6609
0.0000 1.1754 1.1019
0.0000 -1.1754 3.4071
1.3772 3.5261 1.3557

No. 15
RuAu (meta-GGA SCAN, single point on PBEsol structure); excess energy over the best structure of this formula in the dataset = 259 meV/atom
1.0
-0.1671 2.7256 -0.1603
-3.5320 -0.3771 -2.7309
-3.0068 0.0441 3.8827
Au Ru
2 2
Cartesian
-1.7832 0.0262 2.3027
-3.0731 1.1922 0.1344
-4.5415 -0.1478 2.2187
-0.3148 1.3662 0.2185

No. 16
RuAu (meta-GGA SCAN, single point on PBEsol structure); excess energy over the best structure of this formula in the dataset = 896 meV/atom
1.0
-3.6558 -0.0739 0.5554
-1.3674 -1.4348 3.1225
-1.5300 2.2134 2.5374
Au Ru
1 1
Cartesian
0.0000 0.0000 0.0000
-3.2766 0.3524 3.1077

No. 17
RuAu (meta-GGA SCAN, single point on PBEsol structure); excess energy over the best structure of this formula in the dataset = 187 meV/atom
1.0
2.7810 0.0000 0.0000
-1.3905 4.5547 0.0019
0.0000 -0.8502 4.7498
Au Ru
2 2
Cartesian
1.3905 0.3635 4.1805
0.0000 3.3410 0.5711
0.0000 0.8601 1.9124
1.3905 2.8444 2.8393

No. 18
DFT (meta-GGA SCAN) results for a PBEsol-optimized structure of Ru2Au3.

Cell and atoms, written as POSCAR:
```
Ru2Au3
1.0
-2.5480 -0.6108 -0.9495
-0.4584 -2.4207 -1.3026
-3.5602 -5.9185 9.2704
Au Ru
3 2
Cartesian
0.0000 0.0000 0.0000
-2.0095 -2.9431 3.1954
-4.5572 -6.0068 3.8229
-4.0608 -5.9666 6.5548
-2.5059 -2.9834 0.4635
```

No. 19
Ru2Au (meta-GGA SCAN, single point on PBEsol structure); excess energy over the best structure of this formula in the dataset = 0 meV/atom
1.0
-1.3306 1.7278 1.6633
0.9133 -1.3938 2.1784
4.9117 3.2491 -1.7070
Au Ru
1 2
Cartesian
0.0000 0.0000 0.0000
3.0109 2.1870 0.1369
1.4835 1.3961 1.9978

No. 20
Ru3AuS (meta-GGA SCAN, single point on PBEsol structure); formation energy (no corrections) = 0.546 eV per atom
1.0
-0.5405 4.1710 -0.7409
0.2655 -0.7120 -4.2025
-4.2279 -0.5779 -0.1691
Ru S Au
3 1 1
Cartesian
0.1327 -0.3560 -2.1012
-2.1140 -0.2890 -0.0846
-0.2703 2.0855 -0.3704
0.0000 0.0000 0.0000
-2.2515 1.4405 -2.5562

Energy (eV per atom)
-51.423; -41.981; -40.484; -51.362; -41.859; -45.379; -51.429; -45.114; -51.829; -45.766; -57.391; -57.398; -50.679; -51.545; -51.571; -50.933; -51.642; -55.050; -46.060; -36.107
Size of the total moment (μB per formula unit)
0.000; 0.000; 0.000; 0.000; 0.000; 0.000; 0.000; 0.000; 0.000; 0.001; 0.003; 1.621; 1.946; 0.000; 0.000; 2.222; 0.000; 2.303; 0.000; 2.830